This record from the Alexandria database describes LiFeSiO4 after structural relaxation. The functional is GGA-PBEsol.

The structure in CIF format:
```
data_LiFeSiO4
_cell_length_a 5.017
_cell_length_b 6.362
_cell_length_c 10.565
_cell_angle_alpha 90.00
_cell_angle_beta 90.00
_cell_angle_gamma 90.76
_space_group_name_H-M_alt 'P 1'
_space_group_IT_number 1
loop_
_space_group_symop_operation_xyz
'x,y,z'
loop_
_atom_site_label
_atom_site_fract_x
_atom_site_fract_y
_atom_site_fract_z
O1 0.303 0.182 0.110
O2 0.841 0.998 0.174
O3 0.697 0.818 0.890
O4 0.159 0.002 0.826
O5 0.236 0.761 0.086
O6 0.736 0.261 0.414
O7 0.764 0.239 0.914
O8 0.197 0.318 0.610
O9 0.341 0.498 0.326
O10 0.722 0.059 0.683
O11 0.659 0.502 0.674
O12 0.264 0.739 0.586
O13 0.278 0.941 0.317
O14 0.778 0.441 0.183
O15 0.803 0.682 0.390
O16 0.222 0.559 0.817
Si1 0.165 0.969 0.172
Si2 0.335 0.531 0.672
Si3 0.665 0.469 0.328
Si4 0.835 0.031 0.828
Li1 0.330 0.027 0.659
Li2 0.170 0.473 0.159
Li3 0.670 0.973 0.341
Li4 0.830 0.527 0.841
Fe1 0.172 0.710 0.415
Fe2 0.828 0.290 0.585
Fe3 0.328 0.790 0.915
Fe4 0.672 0.210 0.085
```

Computed properties:
E above lowest polymorph in meV per atom: 41
Formation energy from raw total energies in eV per atom: -2.0580
Space-group type: P2_1/c